1.
A plane-wave DFT calculation with PBE-GGA was carried out for Na2GaS3 after structural relaxation.

ΔE_f (raw) in eV per atom: -0.76

abc: 3.492 6.771 7.477
angles: 116.92 103.50 90.00
Last column: magnetic moment on the atom in μB.
Fractional positions:
Na 0.839 0.608 0.678  0.00
Na 0.161 0.930 0.322  0.00
S 0.352 0.302 0.705  0.15
S 0.000 0.043 0.000  0.01
S 0.648 0.597 0.295  0.15
Ga 0.500 0.263 0.000  0.00

***

2.
A plane-wave DFT calculation with PBE-GGA was carried out for NaGa3S after structural relaxation.

ΔE_f (raw) in eV per atom: 0.69
Energy above the most stable polymorph in this dataset in meV/atom: 476

abc: 5.212 5.212 5.212
angles: 90.00 90.00 90.00
Fractional positions:
Ga 0.500 0.000 0.000
Ga 0.000 0.000 0.500
Ga 0.000 0.500 0.000
Na 0.000 0.000 0.000
S 0.500 0.500 0.500

***

3.
A plane-wave DFT calculation with PBE-GGA was carried out for NaGaS2 after structural relaxation.

ΔE_f (raw) in eV per atom: -0.93

abc: 6.302 6.320 7.201
angles: 116.02 77.32 120.09
Fractional positions:
S 0.607 0.882 0.997
S 0.269 0.013 0.733
S 0.607 0.619 0.470
S 0.945 0.352 0.734
Na 0.606 0.453 0.038
Na 0.608 0.149 0.429
Ga 0.888 0.959 0.733
Ga 0.327 0.679 0.733

***

4.
A plane-wave DFT calculation with PBE-GGA was carried out for NaGaS2 after structural relaxation.

ΔE_f (raw) in eV per atom: -0.77

abc: 7.213 3.530 14.140
angles: 90.00 90.00 90.00
Fractional positions:
Ga 0.515 0.750 0.601
Ga 0.485 0.250 0.399
Ga 0.015 0.750 0.899
Ga 0.985 0.250 0.101
S 0.218 0.250 0.982
S 0.431 0.250 0.701
S 0.282 0.750 0.482
S 0.569 0.750 0.299
S 0.782 0.750 0.018
S 0.718 0.250 0.518
S 0.069 0.750 0.201
S 0.931 0.250 0.799
Na 0.581 0.250 0.881
Na 0.419 0.750 0.119
Na 0.081 0.250 0.619
Na 0.919 0.750 0.381

***

> ΔE_f (raw) of number 2 (NaGa3S)?

0.69 eV per atom

***

> Look up the ΔE_f (raw) of the third one.

-0.93 eV per atom

***

What did the fourth record say?
A plane-wave DFT calculation with PBE-GGA was carried out for NaGaS2 after structural relaxation.

ΔE_f (raw) in eV per atom: -0.77

abc: 7.213 3.530 14.140
angles: 90.00 90.00 90.00
Fractional positions:
Ga 0.515 0.750 0.601
Ga 0.485 0.250 0.399
Ga 0.015 0.750 0.899
Ga 0.985 0.250 0.101
S 0.218 0.250 0.982
S 0.431 0.250 0.701
S 0.282 0.750 0.482
S 0.569 0.750 0.299
S 0.782 0.750 0.018
S 0.718 0.250 0.518
S 0.069 0.750 0.201
S 0.931 0.250 0.799
Na 0.581 0.250 0.881
Na 0.419 0.750 0.119
Na 0.081 0.250 0.619
Na 0.919 0.750 0.381